{"formula": "La8DyTh2", "functional": "PBE", "state": "relaxed", "cell": [[-5.690, 0.363, -1.132], [1.673, 3.554, -7.273], [2.245, -9.361, 0.641]], "species": ["La", "La", "La", "La", "La", "La", "La", "La", "Dy", "Th", "Th"], "fractional_positions": [[0.638, 0.842, 0.277], [0.362, 0.566, 0.723], [0.160, 0.160, 0.321], [0.000, 0.294, 0.000], [0.840, 0.840, 0.679], [0.638, 0.434, 0.277], [0.362, 0.158, 0.723], [0.000, 0.706, 0.000], [0.500, 0.000, 0.000], [0.198, 0.699, 0.397], [0.802, 0.301, 0.603]], "vol_a3_per_atom": 35.90, "ef_ev_per_atom": 0.139, "dos_at_fermi_per_ev_cell": 19.50, "energy_ev_per_atom": -5.21}